First-principles (PBE) data for a geometry-optimized MgZn3Ag4 structure, as listed in the Alexandria database.

Cell lengths 4.5268, 4.5268, 6.4914 Å; angles 90.00, 90.00, 90.00 degrees
Sites, in units of the cell vectors:
Mg 0.0000 0.0000 0.0000
Zn 0.0000 0.0000 0.5000
Zn 0.5000 0.5000 0.0000
Zn 0.5000 0.5000 0.5000
Ag 0.0000 0.5000 0.2571
Ag 0.0000 0.5000 0.7429
Ag 0.5000 0.0000 0.2571
Ag 0.5000 0.0000 0.7429

Summary:
The value obtained for the energy of formation is -90.5 meV per atom. Its space group is No. 123. For the polymorph energy (0 for the lowest one), the calculation gives 0 meV per atom.